Here is a relaxed structure of Ac6MgTe8 from Alexandria. Energies are from PBE.

Unit cell a=8.713 b=8.713 c=8.713 alpha=68.13 beta=68.13 gamma=68.13
Element x y z (fractional)
Ac (0.088, 0.691, 0.466)
Ac (0.309, 0.534, 0.912)
Ac (0.466, 0.088, 0.691)
Ac (0.534, 0.912, 0.309)
Ac (0.691, 0.466, 0.088)
Ac (0.912, 0.309, 0.534)
Mg (0.000, 0.000, 0.000)
Te (0.087, 0.347, 0.826)
Te (0.174, 0.913, 0.653)
Te (0.326, 0.326, 0.326)
Te (0.347, 0.826, 0.087)
Te (0.653, 0.174, 0.913)
Te (0.674, 0.674, 0.674)
Te (0.826, 0.087, 0.347)
Te (0.913, 0.653, 0.174)

Values from the calculation:
- M_tot: 0.0 μB per cell
- Space-group type: R-3, No. 148
- DOS at the Fermi energy: 6.17 states/eV per cell
- Formation energy from raw total energies: -20.81 eV per formula unit



Here is a relaxed structure of La3Th2Sn3 from Alexandria. Energies are from PBE.

Unit cell a=9.579 b=9.579 c=6.624 alpha=90.00 beta=90.00 gamma=120.00
Element x y z (fractional)
La (0.000, 0.257, 0.250)
La (0.000, 0.743, 0.750)
La (0.257, 0.000, 0.250)
La (0.257, 0.257, 0.750)
La (0.743, 0.000, 0.750)
La (0.743, 0.743, 0.250)
Th (0.333, 0.667, 0.000)
Th (0.333, 0.667, 0.500)
Th (0.667, 0.333, 0.000)
Th (0.667, 0.333, 0.500)
Sn (0.000, 0.387, 0.750)
Sn (0.000, 0.613, 0.250)
Sn (0.387, 0.000, 0.750)
Sn (0.387, 0.387, 0.250)
Sn (0.613, 0.000, 0.250)
Sn (0.613, 0.613, 0.750)

Values from the calculation:
- M_tot: 2.9 μB per cell
- Space-group type: P6_3/mcm, No. 193
- DOS at the Fermi energy: 19.23 states/eV per cell
- Energy of formation from the pure elements: -0.619 eV/atom



Here is a relaxed structure of Pm8TcNi2 from Alexandria. Energies are from PBE.

Unit cell a=9.247 b=9.247 c=6.788 alpha=106.13 beta=106.13 gamma=32.20
Element x y z (fractional)
Pm (0.034, 0.034, 0.295)
Pm (0.198, 0.198, 0.830)
Pm (0.327, 0.327, 0.522)
Pm (0.409, 0.409, 0.049)
Pm (0.591, 0.591, 0.951)
Pm (0.673, 0.673, 0.478)
Pm (0.802, 0.802, 0.170)
Pm (0.966, 0.966, 0.705)
Tc (0.500, 0.500, 0.500)
Ni (0.184, 0.184, 0.219)
Ni (0.816, 0.816, 0.781)

Values from the calculation:
- M_tot: 0.0 μB per cell
- Space-group type: C2/m, No. 12
- DOS at the Fermi energy: 12.10 states/eV per cell
- Energy of formation from the pure elements: -0.069 eV/atom
- Excess energy over the best structure of this formula in the dataset: 0.00 kcal/mol of atoms



Here is a relaxed structure of LaZnGa4Ni2 from Alexandria. Energies are from PBE.

Unit cell a=9.466 b=9.466 c=9.466 alpha=25.52 beta=25.52 gamma=25.52
Element x y z (fractional)
La (0.000, 0.000, 0.000)
Zn (0.500, 0.500, 0.500)
Ga (0.123, 0.123, 0.123)
Ga (0.404, 0.404, 0.404)
Ga (0.596, 0.596, 0.596)
Ga (0.877, 0.877, 0.877)
Ni (0.225, 0.225, 0.225)
Ni (0.775, 0.775, 0.775)

Values from the calculation:
- M_tot: 0.0 μB per cell
- Space-group type: R-3m, No. 166
- DOS at the Fermi energy: 3.12 states/eV per cell
- Energy of formation from the pure elements: -0.360 eV/atom